Entry 1:
Entry from the Alexandria database: an optimized crystal structure of MnFeTc (PBE-GGA).

Cell lengths 4.674, 4.674, 4.674 Å; angles 89.31, 120.20, 120.60 degrees
Last column: magnetic moment on the atom in μB.
Fractional coordinates of all 6 atoms:
Tc 0.750 0.875 0.125  -0.19
Mn 0.000 0.500 0.500  0.26
Mn 0.500 0.000 0.500  0.26
Fe 0.500 0.500 0.500  1.31
Fe 0.000 0.500 0.000  1.31
Tc 0.250 0.125 0.875  -0.19

formation energy from the elements	0.8	kJ per mole of atoms
mass density	9.66	g/cm³
size of the total moment	2.7	μB per cell


Entry 2:
Entry from the Alexandria database: an optimized crystal structure of MnFeTc (PBE-GGA).

Cell lengths 3.910, 3.910, 3.910 Å; angles 60.00, 60.00, 60.00 degrees
Last column: magnetic moment on the atom in μB.
Fractional coordinates of all 3 atoms:
Fe 0.500 0.500 0.500  1.98
Mn 0.750 0.750 0.750  -0.60
Tc 0.000 0.000 0.000  0.30

formation energy from the elements	53.9	kJ per mole of atoms
mass density	8.21	g/cm³
size of the total moment	1.7	μB per cell


Entry 3:
Entry from the Alexandria database: an optimized crystal structure of MnFeTc2 (PBE-GGA).

Cell lengths 2.588, 2.588, 8.330 Å; angles 90.00, 90.00, 106.53 degrees
Last column: magnetic moment on the atom in μB.
Fractional coordinates of all 4 atoms:
Tc 0.000 0.000 0.503  -0.05
Mn 0.500 0.500 0.750  2.16
Fe 0.500 0.500 0.250  2.55
Tc 0.000 0.000 0.997  -0.05

formation energy from the elements	13.9	kJ per mole of atoms
mass density	9.52	g/cm³
size of the total moment	4.6	μB per cell


Entry 4:
Entry from the Alexandria database: an optimized crystal structure of MnFe2Tc (PBE-GGA).

Cell lengths 8.465, 8.465, 8.465 Å; angles 17.57, 17.57, 17.57 degrees
Last column: magnetic moment on the atom in μB.
Fractional coordinates of all 4 atoms:
Mn 0.505 0.505 0.505  -1.10
Fe 0.997 0.997 0.997  1.53
Fe 0.250 0.250 0.250  1.79
Tc 0.749 0.749 0.749  -0.13

formation energy from the elements	17.6	kJ per mole of atoms
mass density	9.11	g/cm³
size of the total moment	2.0	μB per cell


no.,energy relative to the lowest polymorph listed for this composition (meV/atom)
1,0
2,551
3,93
4,121